# Y4ErTh | Alexandria via LeMat-Bulk | GGA-PBE | relaxed
# ΔE to the lowest computed polymorph: 13 kJ/mol of formula units
# ΔE_f: 60 meV/atom
data_Y4ErTh
_cell_length_a 5.6130
_cell_length_b 6.9178
_cell_length_c 9.8148
_cell_angle_alpha 90.00
_cell_angle_beta 90.00
_cell_angle_gamma 90.00
_space_group_name_H-M_alt 'I m m m'
_space_group_IT_number 71
_space_group_name_Hall '-I 2 2'
loop_
_atom_site_label
_atom_site_type_symbol
_atom_site_fract_x
_atom_site_fract_y
_atom_site_fract_z
Y1 Y 0.0000 0.2484 0.1667
Er1 Er 0.0000 0.5000 0.5000
Th1 Th 0.0000 0.0000 0.5000

# AlPb2Br6 | Alexandria via LeMat-Bulk | GGA-PBE | relaxed
# Formation energy (no corrections): -0.80 eV per atom
data_AlPb2Br6
_cell_length_a 6.9976
_cell_length_b 6.9976
_cell_length_c 12.7363
_cell_angle_alpha 90.00
_cell_angle_beta 90.00
_cell_angle_gamma 90.00
_space_group_name_H-M_alt 'P 42/m n m'
_space_group_IT_number 136
_space_group_name_Hall '-P 4n 2n'
loop_
_atom_site_label
_atom_site_type_symbol
_atom_site_fract_x
_atom_site_fract_y
_atom_site_fract_z
Al1 Al 0.0000 0.0000 0.0000
Pb1 Pb 0.0000 0.0000 0.3443
Br1 Br 0.1880 0.1880 0.1479
Br2 Br 0.2388 0.2388 0.5000

# ScNb3Ru | Alexandria via LeMat-Bulk | GGA-PBE | relaxed
# ΔE to the lowest computed polymorph: 513 kJ/mol of formula units
# ΔE_f: 1834 meV/atom
data_ScNb3Ru
_cell_length_a 4.6556
_cell_length_b 4.6556
_cell_length_c 4.6556
_cell_angle_alpha 90.00
_cell_angle_beta 90.00
_cell_angle_gamma 90.00
_space_group_name_H-M_alt 'P m -3 m'
_space_group_IT_number 221
_space_group_name_Hall '-P 4 2 3'
loop_
_atom_site_label
_atom_site_type_symbol
_atom_site_fract_x
_atom_site_fract_y
_atom_site_fract_z
Sc1 Sc 0.0000 0.0000 0.0000
Nb1 Nb 0.0000 0.0000 0.5000
Ru1 Ru 0.5000 0.5000 0.5000

# ScTlTc4 | Alexandria via LeMat-Bulk | GGA-PBE | relaxed
# ΔE_f: 131 meV/atom
data_ScTlTc4
_cell_length_a 7.4462
_cell_length_b 7.4462
_cell_length_c 7.4462
_cell_angle_alpha 90.00
_cell_angle_beta 90.00
_cell_angle_gamma 90.00
_space_group_name_H-M_alt 'F -4 3 m'
_space_group_IT_number 216
_space_group_name_Hall 'F -4 2 3'
loop_
_atom_site_label
_atom_site_type_symbol
_atom_site_fract_x
_atom_site_fract_y
_atom_site_fract_z
Sc1 Sc 0.0000 0.0000 0.0000
Tl1 Tl 0.2500 0.2500 0.2500
Tc1 Tc 0.1245 0.1245 0.6245

# K3H8Os | Alexandria via LeMat-Bulk | GGA-PBE | relaxed
# Raw total energy: -86.49 eV for the cell shown
data_K3H8Os
_cell_length_a 6.3917
_cell_length_b 6.3917
_cell_length_c 7.9776
_cell_angle_alpha 90.00
_cell_angle_beta 90.00
_cell_angle_gamma 90.00
_space_group_name_H-M_alt 'I -4 2 m'
_space_group_IT_number 121
_space_group_name_Hall 'I -4 2'
loop_
_atom_site_label
_atom_site_type_symbol
_atom_site_fract_x
_atom_site_fract_y
_atom_site_fract_z
K1 K 0.0000 0.0000 0.0000
K2 K 0.0000 0.5000 0.2500
H1 H 0.1080 0.1080 0.6718
H2 H 0.1839 0.1839 0.4449
Os1 Os 0.0000 0.0000 0.5000

# KMnI6 | Alexandria via LeMat-Bulk | GGA-PBE | relaxed
# Formation energy (no corrections): -0.42 eV per atom
# ΔE to the lowest computed polymorph: 61 kJ/mol of formula units
data_KMnI6
_cell_length_a 8.7838
_cell_length_b 11.4383
_cell_length_c 6.7581
_cell_angle_alpha 90.00
_cell_angle_beta 107.04
_cell_angle_gamma 90.00
_space_group_name_H-M_alt 'C 1 2/m 1'
_space_group_IT_number 12
_space_group_name_Hall '-C 2y'
loop_
_atom_site_label
_atom_site_type_symbol
_atom_site_fract_x
_atom_site_fract_y
_atom_site_fract_z
K1 K 0.0000 0.0000 0.0000
Mn1 Mn 0.0000 0.5000 0.5000
I1 I 0.0984 0.3340 0.7905
I2 I 0.2080 0.0000 0.5555

# Nd3Dy4Er | Alexandria via LeMat-Bulk | GGA-PBE | relaxed
# ΔE to the lowest computed polymorph: 97 kJ/mol of formula units
# ΔE_f: 128 meV/atom
data_Nd3Dy4Er
_cell_length_a 3.4883
_cell_length_b 11.6994
_cell_length_c 13.0266
_cell_angle_alpha 90.00
_cell_angle_beta 90.00
_cell_angle_gamma 90.00
_space_group_name_H-M_alt 'I m m m'
_space_group_IT_number 71
_space_group_name_Hall '-I 2 2'
loop_
_atom_site_label
_atom_site_type_symbol
_atom_site_fract_x
_atom_site_fract_y
_atom_site_fract_z
Nd1 Nd 0.0000 0.0000 0.0000
Nd2 Nd 0.0000 0.5000 0.2429
Dy1 Dy 0.0000 0.2450 0.3654
Er1 Er 0.0000 0.0000 0.5000

# K2HgPtI6 | Alexandria via LeMat-Bulk | GGA-PBE | relaxed
# Formation energy (no corrections): -0.66 eV per atom
data_K2HgPtI6
_cell_length_a 8.3241
_cell_length_b 8.3241
_cell_length_c 20.4036
_cell_angle_alpha 90.00
_cell_angle_beta 90.00
_cell_angle_gamma 120.00
_space_group_name_H-M_alt 'R 3'
_space_group_IT_number 146
_space_group_name_Hall 'R 3'
loop_
_atom_site_label
_atom_site_type_symbol
_atom_site_fract_x
_atom_site_fract_y
_atom_site_fract_z
K1 K 0.0000 0.0000 0.0000
K2 K 0.0000 0.0000 0.4954
Hg1 Hg 0.0000 0.0000 0.2703
Pt1 Pt 0.0000 0.0000 0.7714
I1 I 0.0299 0.5691 0.5158
I2 I 0.1280 0.3619 0.3608